# 1
# Nd12HoEr5 GGA-PBE optimized geometry
data_Nd12HoEr5
_symmetry_space_group_name_H-M 'C m m m'
_symmetry_Int_Tables_number 65
_symmetry_space_group_name_Hall '-C 2 2'
_cell_length_a 15.3286
_cell_length_b 15.4107
_cell_length_c 5.1380
_cell_angle_alpha 90.00
_cell_angle_beta 90.00
_cell_angle_gamma 90.00
loop_
_atom_site_label
_atom_site_type_symbol
_atom_site_fract_x
_atom_site_fract_y
_atom_site_fract_z
_atom_site_occupancy
Nd1 Nd 0.1649 0.0000 0.0000 1
Nd2 Nd 0.1648 0.1667 0.5000 1
Nd3 Nd 0.1647 0.3333 0.0000 1
Nd4 Nd 0.1646 0.5000 0.5000 1
Ho1 Ho 0.0000 0.0000 0.5000 1
Er1 Er 0.0000 0.1666 0.0000 1
Er2 Er 0.0000 0.3332 0.5000 1
Er3 Er 0.0000 0.5000 0.0000 1
# DFT total energy = -4.678 eV per atom
# DOS(E_F) = 1.55 states/eV per atom
# Volume = 33.7 Å³/atom
# Energy of formation = 0.022 eV per atom

---

# 2
# NdHo12Er7 GGA-PBE optimized geometry
data_NdHo12Er7
_symmetry_space_group_name_H-M 'R -3'
_symmetry_Int_Tables_number 148
_symmetry_space_group_name_Hall '-R 3'
_cell_length_a 12.7411
_cell_length_b 12.7411
_cell_length_c 13.5322
_cell_angle_alpha 90.00
_cell_angle_beta 90.00
_cell_angle_gamma 120.00
loop_
_atom_site_label
_atom_site_type_symbol
_atom_site_fract_x
_atom_site_fract_y
_atom_site_fract_z
_atom_site_occupancy
Nd1 Nd 0.0000 0.0000 0.0000 1
Ho1 Ho 0.0039 0.4369 0.2465 1
Ho2 Ho 0.0682 0.1987 0.3442 1
Er1 Er 0.0000 0.0000 0.5000 1
Er2 Er 0.0683 0.8660 0.8520 1
# DFT total energy = -4.272 eV per atom
# Polymorph energy (0 for the lowest one) = 0 meV/atom
# DOS(E_F) = 0.91 states/eV per atom
# Volume = 31.7 Å³/atom
# Energy of formation = 0.311 eV per atom

---

# 3
# Nd2HoEr GGA-PBE optimized geometry
data_Nd2HoEr
_symmetry_space_group_name_H-M 'F m -3 m'
_symmetry_Int_Tables_number 225
_symmetry_space_group_name_Hall '-F 4 2 3'
_cell_length_a 8.0988
_cell_length_b 8.0988
_cell_length_c 8.0988
_cell_angle_alpha 90.00
_cell_angle_beta 90.00
_cell_angle_gamma 90.00
loop_
_atom_site_label
_atom_site_type_symbol
_atom_site_fract_x
_atom_site_fract_y
_atom_site_fract_z
_atom_site_occupancy
Nd1 Nd 0.2500 0.2500 0.2500 1
Ho1 Ho 0.0000 0.0000 0.0000 1
Er1 Er 0.0000 0.0000 0.5000 1
# DFT total energy = -4.562 eV per atom
# Polymorph energy (0 for the lowest one) = 94 meV/atom
# DOS(E_F) = 1.86 states/eV per atom
# Volume = 33.2 Å³/atom
# Energy of formation = 0.107 eV per atom

---

# 4
# Nd2Ho7Er2 GGA-PBE optimized geometry
data_Nd2Ho7Er2
_symmetry_space_group_name_H-M 'C 1 2/m 1'
_symmetry_Int_Tables_number 12
_symmetry_space_group_name_Hall '-C 2y'
_cell_length_a 11.2572
_cell_length_b 11.4142
_cell_length_c 6.0272
_cell_angle_alpha 90.00
_cell_angle_beta 113.44
_cell_angle_gamma 90.00
loop_
_atom_site_label
_atom_site_type_symbol
_atom_site_fract_x
_atom_site_fract_y
_atom_site_fract_z
_atom_site_occupancy
Nd1 Nd 0.2307 0.0000 0.0923 1
Ho1 Ho 0.0000 0.0000 0.5000 1
Ho2 Ho 0.0869 0.5000 0.3011 1
Ho3 Ho 0.1742 0.2351 0.6746 1
Er1 Er 0.0000 0.2182 0.0000 1
# DFT total energy = -4.452 eV per atom
# Polymorph energy (0 for the lowest one) = 3 meV/atom
# DOS(E_F) = 1.59 states/eV per atom
# Volume = 32.3 Å³/atom
# Energy of formation = 0.158 eV per atom

---

# 5
# Nd3HoEr7 GGA-PBE optimized geometry
data_Nd3HoEr7
_symmetry_space_group_name_H-M 'I m m m'
_symmetry_Int_Tables_number 71
_symmetry_space_group_name_Hall '-I 2 2'
_cell_length_a 5.8187
_cell_length_b 11.1269
_cell_length_c 11.1722
_cell_angle_alpha 90.00
_cell_angle_beta 90.00
_cell_angle_gamma 90.00
loop_
_atom_site_label
_atom_site_type_symbol
_atom_site_fract_x
_atom_site_fract_y
_atom_site_fract_z
_atom_site_occupancy
Nd1 Nd 0.0000 0.0000 0.0000 1
Nd2 Nd 0.0000 0.5000 0.2866 1
Ho1 Ho 0.0000 0.0000 0.5000 1
Er1 Er 0.0000 0.2068 0.1967 1
Er2 Er 0.0000 0.2937 0.5000 1
Er3 Er 0.0000 0.5000 0.0000 1
# DFT total energy = -4.340 eV per atom
# Polymorph energy (0 for the lowest one) = 127 meV/atom
# DOS(E_F) = 1.35 states/eV per atom
# Volume = 32.9 Å³/atom
# Energy of formation = 0.280 eV per atom

---

# 6
# Nd6HoEr2 GGA-PBE optimized geometry
data_Nd6HoEr2
_symmetry_space_group_name_H-M 'C m m m'
_symmetry_Int_Tables_number 65
_symmetry_space_group_name_Hall '-C 2 2'
_cell_length_a 9.4118
_cell_length_b 17.6995
_cell_length_c 3.6650
_cell_angle_alpha 90.00
_cell_angle_beta 90.00
_cell_angle_gamma 90.00
loop_
_atom_site_label
_atom_site_type_symbol
_atom_site_fract_x
_atom_site_fract_y
_atom_site_fract_z
_atom_site_occupancy
Nd1 Nd 0.1758 0.1654 0.0000 1
Nd2 Nd 0.1841 0.0000 0.5000 1
Ho1 Ho 0.0000 0.5000 0.0000 1
Er1 Er 0.0000 0.3234 0.5000 1
# DFT total energy = -4.572 eV per atom
# Polymorph energy (0 for the lowest one) = 0 meV/atom
# DOS(E_F) = 1.37 states/eV per atom
# Volume = 33.9 Å³/atom
# Energy of formation = 0.129 eV per atom

---

# 7
# NdHo6Er2 GGA-PBE optimized geometry
data_NdHo6Er2
_symmetry_space_group_name_H-M 'C m m m'
_symmetry_Int_Tables_number 65
_symmetry_space_group_name_Hall '-C 2 2'
_cell_length_a 5.5871
_cell_length_b 28.9722
_cell_length_c 3.4719
_cell_angle_alpha 90.00
_cell_angle_beta 90.00
_cell_angle_gamma 90.00
loop_
_atom_site_label
_atom_site_type_symbol
_atom_site_fract_x
_atom_site_fract_y
_atom_site_fract_z
_atom_site_occupancy
Nd1 Nd 0.0000 0.0000 0.0000 1
Ho1 Ho 0.0000 0.1130 0.5000 1
Ho2 Ho 0.0000 0.2231 0.5000 1
Ho3 Ho 0.0000 0.4432 0.5000 1
Er1 Er 0.0000 0.3327 0.0000 1
# DFT total energy = -4.525 eV per atom
# Polymorph energy (0 for the lowest one) = 0 meV/atom
# DOS(E_F) = 1.64 states/eV per atom
# Volume = 31.2 Å³/atom
# Energy of formation = 0.071 eV per atom

---

# 8
# NdHo4Er3 GGA-PBE optimized geometry
data_NdHo4Er3
_symmetry_space_group_name_H-M 'C m m m'
_symmetry_Int_Tables_number 65
_symmetry_space_group_name_Hall '-C 2 2'
_cell_length_a 5.6172
_cell_length_b 25.9905
_cell_length_c 3.5378
_cell_angle_alpha 90.00
_cell_angle_beta 90.00
_cell_angle_gamma 90.00
loop_
_atom_site_label
_atom_site_type_symbol
_atom_site_fract_x
_atom_site_fract_y
_atom_site_fract_z
_atom_site_occupancy
Nd1 Nd 0.0000 0.0000 0.0000 1
Ho1 Ho 0.0000 0.1053 0.5000 1
Ho2 Ho 0.0000 0.2241 0.5000 1
Er1 Er 0.0000 0.3437 0.0000 1
Er2 Er 0.0000 0.5000 0.5000 1
# DFT total energy = -4.367 eV per atom
# Polymorph energy (0 for the lowest one) = 223 meV/atom
# DOS(E_F) = 1.68 states/eV per atom
# Volume = 32.3 Å³/atom
# Energy of formation = 0.229 eV per atom

---

# 9
# Nd4HoEr2 GGA-PBE optimized geometry
data_Nd4HoEr2
_symmetry_space_group_name_H-M 'I m m a'
_symmetry_Int_Tables_number 74
_symmetry_space_group_name_Hall '-I 2b 2'
_cell_length_a 6.8778
_cell_length_b 11.4218
_cell_length_c 12.1476
_cell_angle_alpha 90.00
_cell_angle_beta 90.00
_cell_angle_gamma 90.00
loop_
_atom_site_label
_atom_site_type_symbol
_atom_site_fract_x
_atom_site_fract_y
_atom_site_fract_z
_atom_site_occupancy
Nd1 Nd 0.0000 0.0045 0.1488 1
Nd2 Nd 0.2208 0.2500 0.9905 1
Ho1 Ho 0.2500 0.2500 0.2500 1
Er1 Er 0.0000 0.0000 0.5000 1
Er2 Er 0.0000 0.2500 0.7175 1
# DFT total energy = -4.428 eV per atom
# Polymorph energy (0 for the lowest one) = 195 meV/atom
# DOS(E_F) = 1.43 states/eV per atom
# Volume = 34.1 Å³/atom
# Energy of formation = 0.254 eV per atom

---

# 10
# Nd3Ho6Er GGA-PBE optimized geometry
data_Nd3Ho6Er
_symmetry_space_group_name_H-M 'C 1 2/m 1'
_symmetry_Int_Tables_number 12
_symmetry_space_group_name_Hall '-C 2y'
_cell_length_a 11.5239
_cell_length_b 6.5657
_cell_length_c 9.6754
_cell_angle_alpha 90.00
_cell_angle_beta 114.62
_cell_angle_gamma 90.00
loop_
_atom_site_label
_atom_site_type_symbol
_atom_site_fract_x
_atom_site_fract_y
_atom_site_fract_z
_atom_site_occupancy
Nd1 Nd 0.0000 0.0000 0.0000 1
Nd2 Nd 0.0705 0.0000 0.6991 1
Ho1 Ho 0.1366 0.5000 0.9214 1
Ho2 Ho 0.1861 0.2535 0.3120 1
Er1 Er 0.0000 0.5000 0.5000 1
# DFT total energy = -4.408 eV per atom
# Polymorph energy (0 for the lowest one) = 75 meV/atom
# DOS(E_F) = 1.76 states/eV per atom
# Volume = 33.3 Å³/atom
# Energy of formation = 0.226 eV per atom